No. 1
A plane-wave DFT calculation with PBE was carried out for a relaxed structure of GdYH4.

The space group is P4/mmm (No. 123) and the conventional cell measures 3.682, 3.682 and 5.205 Å, with angles of 90.00, 90.00 and 90.00 degrees. The asymmetric unit holds Gd at (0.000, 0.000, 0.000), Y at (0.500, 0.500, 0.500) and H at (0.000, 0.500, 0.251).

Its total energy is -0.1763 Ha/atom.

***

No. 2
A plane-wave DFT calculation with PBE was carried out for a relaxed structure of Gd2Hf.

The space group is Cmcm (No. 63) and the conventional cell measures 4.835, 14.641 and 4.771 Å, with angles of 90.00, 90.00 and 90.00 degrees. The asymmetric unit holds Gd at (0.000, 0.079, 0.250), Gd at (0.000, 0.250, 0.750) and Hf at (0.000, 0.426, 0.250).

As for the formation enthalpy at 0 K: 0.1642 eV/atom. As for the offset from the most stable computed form: 0.00 eV per formula unit. Its total energy is -0.2299 Ha/atom.

***

No. 3
A plane-wave DFT calculation with PBE was carried out for a relaxed structure of GdHf2.

The space group is Fd-3m (No. 227, origin choice 2) and the conventional cell measures 12.697, 12.697 and 12.697 Å, with angles of 90.00, 90.00 and 90.00 degrees. The asymmetric unit holds Gd at (0.125, 0.125, 0.125) and Hf at (0.000, 0.000, 0.000).

As for the formation enthalpy at 0 K: 3.4977 eV/atom. As for the offset from the most stable computed form: 10.10 eV per formula unit. Its total energy is -0.1724 Ha/atom.

***

No. 4
A plane-wave DFT calculation with PBE was carried out for a relaxed structure of Gd2Hf.

The space group is Fd-3m (No. 227, origin choice 2) and the conventional cell measures 12.201, 12.201 and 12.201 Å, with angles of 90.00, 90.00 and 90.00 degrees. The asymmetric unit holds Gd at (0.000, 0.000, 0.000) and Hf at (0.125, 0.125, 0.125).

As for the formation enthalpy at 0 K: 2.5167 eV/atom. As for the offset from the most stable computed form: 7.06 eV per formula unit. Its total energy is -0.1435 Ha/atom.

***

No. 5
A plane-wave DFT calculation with PBE was carried out for a relaxed structure of Gd2Hf.

The space group is Fd-3m (No. 227, origin choice 2) and the conventional cell measures 8.800, 8.800 and 8.800 Å, with angles of 90.00, 90.00 and 90.00 degrees. The asymmetric unit holds Gd at (0.000, 0.000, 0.000) and Hf at (0.125, 0.125, 0.625).

As for the formation enthalpy at 0 K: 0.6317 eV/atom. As for the offset from the most stable computed form: 1.40 eV per formula unit. Its total energy is -0.2128 Ha/atom.

***

No. 6
A plane-wave DFT calculation with PBE was carried out for a relaxed structure of GdHf2.

The space group is Fm-3m (No. 225) and the conventional cell measures 6.982, 6.982 and 6.982 Å, with angles of 90.00, 90.00 and 90.00 degrees. The asymmetric unit holds Gd at (0.000, 0.000, 0.000) and Hf at (0.250, 0.250, 0.250).

As for the formation enthalpy at 0 K: 1.2157 eV/atom. As for the offset from the most stable computed form: 3.26 eV per formula unit. Its total energy is -0.2562 Ha/atom.

***

No. 7
A plane-wave DFT calculation with PBE was carried out for a relaxed structure of Gd2Hf.

The space group is Fm-3m (No. 225) and the conventional cell measures 7.355, 7.355 and 7.355 Å, with angles of 90.00, 90.00 and 90.00 degrees. The asymmetric unit holds Gd at (0.250, 0.250, 0.250) and Hf at (0.000, 0.000, 0.000).

As for the formation enthalpy at 0 K: 0.8498 eV/atom. As for the offset from the most stable computed form: 2.06 eV per formula unit. Its total energy is -0.2048 Ha/atom.

***

No. 8
A plane-wave DFT calculation with PBE was carried out for a relaxed structure of GdHfHg.

The space group is F-43m (No. 216) and the conventional cell measures 6.961, 6.961 and 6.961 Å, with angles of 90.00, 90.00 and 90.00 degrees. The asymmetric unit holds Gd at (0.000, 0.000, 0.000), Hf at (0.000, 0.000, 0.500) and Hg at (0.250, 0.250, 0.250).

As for the formation enthalpy at 0 K: 0.2824 eV/atom. As for the offset from the most stable computed form: 0.00 eV per formula unit. Its total energy is -0.1722 Ha/atom.

***

No. 9
A plane-wave DFT calculation with PBE was carried out for a relaxed structure of GdHfHg.

The space group is F-43m (No. 216) and the conventional cell measures 7.032, 7.032 and 7.032 Å, with angles of 90.00, 90.00 and 90.00 degrees. The asymmetric unit holds Gd at (0.000, 0.000, 0.000), Hf at (0.250, 0.250, 0.750) and Hg at (0.250, 0.250, 0.250).

As for the formation enthalpy at 0 K: 0.8343 eV/atom. As for the offset from the most stable computed form: 1.66 eV per formula unit. Its total energy is -0.1519 Ha/atom.

***

No. 10
A plane-wave DFT calculation with PBE was carried out for a relaxed structure of GdHoHf.

The space group is F-43m (No. 216) and the conventional cell measures 7.326, 7.326 and 7.326 Å, with angles of 90.00, 90.00 and 90.00 degrees. The asymmetric unit holds Gd at (0.000, 0.000, 0.000), Ho at (0.000, 0.000, 0.500) and Hf at (0.250, 0.250, 0.250).

As for the formation enthalpy at 0 K: 0.8540 eV/atom. As for the offset from the most stable computed form: 0.00 eV per formula unit. Its total energy is -0.2036 Ha/atom.

***

No. 11
A plane-wave DFT calculation with PBE was carried out for a relaxed structure of GdHfIn.

The space group is F-43m (No. 216) and the conventional cell measures 7.032, 7.032 and 7.032 Å, with angles of 90.00, 90.00 and 90.00 degrees. The asymmetric unit holds Gd at (0.000, 0.000, 0.000), Hf at (0.000, 0.000, 0.500) and In at (0.250, 0.250, 0.250).

As for the offset from the most stable computed form: 0.00 eV per formula unit. Its total energy is -0.2030 Ha/atom.

***

No. 12
A plane-wave DFT calculation with PBE was carried out for a relaxed structure of Gd2HfIr.

The space group is Cmcm (No. 63) and the conventional cell measures 10.078, 6.619 and 5.922 Å, with angles of 90.00, 90.00 and 90.00 degrees. The asymmetric unit holds Gd at (0.178, 0.227, 0.250), Hf at (0.000, 0.176, 0.750) and Ir at (0.000, 0.500, 0.000).

As for the formation enthalpy at 0 K: -0.3226 eV/atom. Its total energy is -0.2702 Ha/atom.

***

> Which formula does entry 2 have?

Gd2Hf